No. 1
A geometry-optimized DyPuCoAu structure, computed with PBE-GGA.

Output
Crystal system: cubic
Energy relative to the elements, meV per atom: -217
Symmetry: F-43m, No. 216

```
data_DyPuCoAu
_space_group_name_H-M_alt 'P 1'
_space_group_IT_number 1
_cell_length_a 4.952
_cell_length_b 4.952
_cell_length_c 4.952
_cell_angle_alpha 60.00
_cell_angle_beta 60.00
_cell_angle_gamma 60.00
loop_
_space_group_symop_operation_xyz
'x,y,z'
loop_
_atom_site_label
_atom_site_type_symbol
_atom_site_fract_x
_atom_site_fract_y
_atom_site_fract_z
Co1 Co 0.750 0.750 0.750
Dy1 Dy 0.500 0.500 0.500
Au1 Au 0.250 0.250 0.250
Pu1 Pu 0.000 0.000 0.000
```



No. 2
A geometry-optimized MgTeSe3 structure, computed with PBE-GGA.

Output
Crystal system: cubic
Symmetry: Pm-3m, No. 221
E_form (uncorrected), eV per atom: 0.169

```
data_MgTeSe3
_space_group_name_H-M_alt 'P 1'
_space_group_IT_number 1
_cell_length_a 5.028
_cell_length_b 5.028
_cell_length_c 5.028
_cell_angle_alpha 90.00
_cell_angle_beta 90.00
_cell_angle_gamma 90.00
loop_
_space_group_symop_operation_xyz
'x,y,z'
loop_
_atom_site_label
_atom_site_type_symbol
_atom_site_fract_x
_atom_site_fract_y
_atom_site_fract_z
Mg1 Mg 0.000 0.000 0.000
Te1 Te 0.500 0.500 0.500
Se1 Se 0.000 0.500 0.000
Se2 Se 0.000 0.000 0.500
Se3 Se 0.500 0.000 0.000
```



No. 3
A geometry-optimized NbTlSn2P structure, computed with PBE-GGA.

Output
Crystal system: tetragonal
Energy relative to the elements, meV per atom: 909
Symmetry: P4/mmm, No. 123

```
data_NbTlSn2P
_space_group_name_H-M_alt 'P 1'
_space_group_IT_number 1
_cell_length_a 5.395
_cell_length_b 5.537
_cell_length_c 5.395
_cell_angle_alpha 90.00
_cell_angle_beta 90.00
_cell_angle_gamma 90.00
loop_
_space_group_symop_operation_xyz
'x,y,z'
loop_
_atom_site_label
_atom_site_type_symbol
_atom_site_fract_x
_atom_site_fract_y
_atom_site_fract_z
P1 P 0.500 0.500 0.500
Tl1 Tl 0.000 0.500 0.000
Sn1 Sn 0.000 0.000 0.500
Sn2 Sn 0.500 0.000 0.000
Nb1 Nb 0.000 0.000 0.000
```



No. 4
A geometry-optimized Tb5SmTm2 structure, computed with PBE-GGA.

Output
Crystal system: triclinic
Energy relative to the elements, meV per atom: 11
Symmetry: P-1, No. 2

```
data_Tb5SmTm2
_space_group_name_H-M_alt 'P 1'
_space_group_IT_number 1
_cell_length_a 6.712
_cell_length_b 13.759
_cell_length_c 9.581
_cell_angle_alpha 72.63
_cell_angle_beta 114.06
_cell_angle_gamma 140.49
loop_
_space_group_symop_operation_xyz
'x,y,z'
loop_
_atom_site_label
_atom_site_type_symbol
_atom_site_fract_x
_atom_site_fract_y
_atom_site_fract_z
Tb1 Tb 0.104 0.854 0.022
Tb2 Tb 0.231 0.981 0.646
Tb3 Tb 0.393 0.646 0.478
Tb4 Tb 0.519 0.769 0.104
Tb5 Tb 0.353 0.103 0.272
Tb6 Tb 0.647 0.897 0.728
Tb7 Tb 0.607 0.354 0.522
Tb8 Tb 0.481 0.231 0.896
Tb9 Tb 0.896 0.146 0.978
Tb10 Tb 0.769 0.019 0.354
Sm1 Sm 0.853 0.604 0.771
Sm2 Sm 0.147 0.396 0.229
Tm1 Tm 0.978 0.729 0.396
Tm2 Tm 0.728 0.479 0.146
Tm3 Tm 0.022 0.271 0.604
Tm4 Tm 0.272 0.521 0.854
```



No. 5
A geometry-optimized CaBe3Ni structure, computed with PBE-GGA.

Output
Crystal system: cubic
Energy relative to the elements, meV per atom: 60
Symmetry: Pm-3m, No. 221

```
data_CaBe3Ni
_space_group_name_H-M_alt 'P 1'
_space_group_IT_number 1
_cell_length_a 4.145
_cell_length_b 4.145
_cell_length_c 4.145
_cell_angle_alpha 90.00
_cell_angle_beta 90.00
_cell_angle_gamma 90.00
loop_
_space_group_symop_operation_xyz
'x,y,z'
loop_
_atom_site_label
_atom_site_type_symbol
_atom_site_fract_x
_atom_site_fract_y
_atom_site_fract_z
Ni1 Ni 0.000 0.000 0.000
Ca1 Ca 0.500 0.500 0.500
Be1 Be 0.000 0.500 0.000
Be2 Be 0.000 0.000 0.500
Be3 Be 0.500 0.000 0.000
```



No. 6
A geometry-optimized ScInTeI2 structure, computed with PBE-GGA.

Output
Crystal system: tetragonal
Symmetry: P4/mmm, No. 123
E_form (uncorrected), eV per atom: 0.123

```
data_ScInTeI2
_space_group_name_H-M_alt 'P 1'
_space_group_IT_number 1
_cell_length_a 5.814
_cell_length_b 5.814
_cell_length_c 5.875
_cell_angle_alpha 90.00
_cell_angle_beta 90.00
_cell_angle_gamma 90.00
loop_
_space_group_symop_operation_xyz
'x,y,z'
loop_
_atom_site_label
_atom_site_type_symbol
_atom_site_fract_x
_atom_site_fract_y
_atom_site_fract_z
I1 I 0.000 0.500 0.000
I2 I 0.500 0.000 0.000
Sc1 Sc 0.500 0.500 0.500
Te1 Te 0.000 0.000 0.500
In1 In 0.000 0.000 0.000
```



No. 7
A geometry-optimized Rb3MnBe structure, computed with PBE-GGA.

Output
Crystal system: cubic
Energy relative to the elements, meV per atom: 1103
Symmetry: Pm-3m, No. 221

```
data_Rb3MnBe
_space_group_name_H-M_alt 'P 1'
_space_group_IT_number 1
_cell_length_a 6.617
_cell_length_b 6.617
_cell_length_c 6.617
_cell_angle_alpha 90.00
_cell_angle_beta 90.00
_cell_angle_gamma 90.00
loop_
_space_group_symop_operation_xyz
'x,y,z'
loop_
_atom_site_label
_atom_site_type_symbol
_atom_site_fract_x
_atom_site_fract_y
_atom_site_fract_z
Be1 Be 0.000 0.000 0.000
Mn1 Mn 0.500 0.500 0.500
Rb1 Rb 0.000 0.500 0.000
Rb2 Rb 0.000 0.000 0.500
Rb3 Rb 0.500 0.000 0.000
```



No. 8
A geometry-optimized CdGeO2F structure, computed with PBE-GGA.

Output
Crystal system: tetragonal
Symmetry: P4/mmm, No. 123
E_form (uncorrected), eV per atom: -1.171

```
data_CdGeO2F
_space_group_name_H-M_alt 'P 1'
_space_group_IT_number 1
_cell_length_a 3.879
_cell_length_b 3.879
_cell_length_c 4.132
_cell_angle_alpha 90.00
_cell_angle_beta 90.00
_cell_angle_gamma 90.00
loop_
_space_group_symop_operation_xyz
'x,y,z'
loop_
_atom_site_label
_atom_site_type_symbol
_atom_site_fract_x
_atom_site_fract_y
_atom_site_fract_z
Ge1 Ge 0.000 0.000 0.000
F1 F 0.000 0.000 0.500
O1 O 0.000 0.500 0.000
O2 O 0.500 0.000 0.000
Cd1 Cd 0.500 0.500 0.500
```



No. 9
A geometry-optimized MgCdBRh2 structure, computed with PBE-GGA.

Output
Crystal system: tetragonal
Energy relative to the elements, meV per atom: -284
Symmetry: P4/mmm, No. 123

```
data_MgCdBRh2
_space_group_name_H-M_alt 'P 1'
_space_group_IT_number 1
_cell_length_a 4.134
_cell_length_b 4.134
_cell_length_c 4.365
_cell_angle_alpha 90.00
_cell_angle_beta 90.00
_cell_angle_gamma 90.00
loop_
_space_group_symop_operation_xyz
'x,y,z'
loop_
_atom_site_label
_atom_site_type_symbol
_atom_site_fract_x
_atom_site_fract_y
_atom_site_fract_z
Mg1 Mg 0.000 0.000 0.500
B1 B 0.000 0.000 0.000
Rh1 Rh 0.000 0.500 0.000
Rh2 Rh 0.500 0.000 0.000
Cd1 Cd 0.500 0.500 0.500
```



No. 10
A geometry-optimized TlCd2Br structure, computed with PBE-GGA.

Output
Crystal system: trigonal
Symmetry: R3m, No. 160
E_form (uncorrected), eV per atom: -0.182

```
data_TlCd2Br
_space_group_name_H-M_alt 'P 1'
_space_group_IT_number 1
_cell_length_a 8.944
_cell_length_b 8.944
_cell_length_c 8.944
_cell_angle_alpha 25.59
_cell_angle_beta 25.59
_cell_angle_gamma 25.59
loop_
_space_group_symop_operation_xyz
'x,y,z'
loop_
_atom_site_label
_atom_site_type_symbol
_atom_site_fract_x
_atom_site_fract_y
_atom_site_fract_z
Tl1 Tl 0.504 0.504 0.504
Br1 Br 0.739 0.739 0.739
Cd1 Cd 0.999 0.999 0.999
Cd2 Cd 0.258 0.258 0.258
```



No. 11
A geometry-optimized CuB2AsO structure, computed with PBE-GGA.

Output
Crystal system: tetragonal
Symmetry: P4/mmm, No. 123
E_form (uncorrected), eV per atom: 1.641

```
data_CuB2AsO
_space_group_name_H-M_alt 'P 1'
_space_group_IT_number 1
_cell_length_a 3.983
_cell_length_b 4.564
_cell_length_c 3.983
_cell_angle_alpha 90.00
_cell_angle_beta 90.00
_cell_angle_gamma 90.00
loop_
_space_group_symop_operation_xyz
'x,y,z'
loop_
_atom_site_label
_atom_site_type_symbol
_atom_site_fract_x
_atom_site_fract_y
_atom_site_fract_z
As1 As 0.000 0.000 0.000
B1 B 0.000 0.000 0.500
B2 B 0.500 0.000 0.000
O1 O 0.500 0.500 0.500
Cu1 Cu 0.000 0.500 0.000
```